[1]
Crystalline TiAg at its relaxed geometry. Source: the Alexandria database, functional GGA-PBE.

Calculated values
Space group   P6_3/m (176)
Total magnetization   7.91 μB/cell
E_form   426 meV per atom

```
TiAg
1.0
7.6048 0.0000 0.0000
-3.8024 6.5860 0.0000
0.0000 0.0000 4.6773
Ti Ag
6 6
Direct
0.1106 0.4825 0.2500
0.3719 0.8894 0.2500
0.4825 0.3719 0.7500
0.5175 0.6281 0.2500
0.6281 0.1106 0.7500
0.8894 0.5175 0.7500
0.0591 0.2536 0.7500
0.1945 0.9409 0.7500
0.2536 0.1945 0.2500
0.7464 0.8055 0.7500
0.8055 0.0591 0.2500
0.9409 0.7464 0.2500
```


[2]
Crystalline Ti2Ag at its relaxed geometry. Source: the Alexandria database, functional GGA-PBE.

Calculated values
Space group   Fd-3m (227)
Total magnetization   0.00 μB/cell
E_form   283 meV per atom

```
Ti2Ag
1.0
0.0000 3.7218 3.7218
3.7218 0.0000 3.7218
3.7218 3.7218 0.0000
Ti Ag
4 2
Direct
0.0000 0.0000 0.0000
0.0000 0.0000 0.5000
0.0000 0.5000 0.0000
0.5000 0.0000 0.0000
0.3750 0.3750 0.3750
0.6250 0.6250 0.6250
```


[3]
Crystalline TiAg at its relaxed geometry. Source: the Alexandria database, functional GGA-PBE.

Calculated values
Space group   Fddd (70)
Total magnetization   2.77 μB/cell
E_form   401 meV per atom

```
TiAg
1.0
0.0000 3.8469 5.2106
3.7646 0.0000 5.2106
3.7646 3.8469 0.0000
Ti Ag
4 4
Direct
0.0455 0.7045 0.7045
0.2955 0.9545 0.9545
0.7045 0.0455 0.0455
0.9545 0.2955 0.2955
0.1993 0.5507 0.1993
0.4493 0.8007 0.4493
0.5507 0.1993 0.5507
0.8007 0.4493 0.8007
```


[4]
Crystalline Ti4Ag at its relaxed geometry. Source: the Alexandria database, functional GGA-PBE.

Calculated values
Space group   Pm-3m (221)
Total magnetization   3.81 μB/cell
E_form   1170 meV per atom

```
Ti4Ag
1.0
4.8439 0.0000 0.0000
0.0000 4.8439 0.0000
0.0000 0.0000 4.8439
Ti Ag
4 1
Direct
0.0000 0.0000 0.0000
0.0000 0.5000 0.5000
0.5000 0.0000 0.5000
0.5000 0.5000 0.0000
0.5000 0.5000 0.5000
```


[5]
Crystalline Ti5Ag at its relaxed geometry. Source: the Alexandria database, functional GGA-PBE.

Calculated values
Space group   Cmmm (65)
Total magnetization   3.55 μB/cell
E_form   60 meV per atom

```
Ti5Ag
1.0
4.1543 0.0000 0.0000
0.0000 12.0892 0.0000
0.0000 0.0000 4.1426
Ti Ag
10 2
Direct
0.0000 0.0000 0.0000
0.0000 0.1693 0.5000
0.0000 0.3268 0.0000
0.0000 0.6732 0.0000
0.0000 0.8307 0.5000
0.5000 0.1732 0.0000
0.5000 0.3307 0.5000
0.5000 0.5000 0.0000
0.5000 0.6693 0.5000
0.5000 0.8268 0.0000
0.0000 0.5000 0.5000
0.5000 0.0000 0.5000
```


[6]
Crystalline Ti3Ag at its relaxed geometry. Source: the Alexandria database, functional GGA-PBE.

Calculated values
Space group   Imm2 (44)
Total magnetization   0.00 μB/cell
E_form   94 meV per atom

```
Ti3Ag
1.0
2.9285 0.0000 0.0000
0.0000 9.3355 0.0000
0.0000 0.0000 5.0538
Ti Ag
6 2
Direct
0.0000 0.0000 0.0000
0.0000 0.2414 0.6329
0.0000 0.7586 0.6329
0.5000 0.2586 0.1329
0.5000 0.5000 0.5000
0.5000 0.7414 0.1329
0.0000 0.5000 0.9778
0.5000 0.0000 0.4778
```


[7]
Crystalline TiAg at its relaxed geometry. Source: the Alexandria database, functional GGA-PBE.

Calculated values
Space group   I4/m (87)
Total magnetization   0.00 μB/cell
E_form   225 meV per atom

```
TiAg
1.0
10.3376 0.0000 0.0000
0.0000 10.3376 0.0000
0.0000 0.0000 2.8151
Ti Ag
8 8
Direct
0.0911 0.6316 0.0000
0.1316 0.4089 0.5000
0.3684 0.0911 0.0000
0.4089 0.8684 0.5000
0.5911 0.1316 0.5000
0.6316 0.9089 0.0000
0.8684 0.5911 0.5000
0.9089 0.3684 0.0000
0.1006 0.1669 0.0000
0.1669 0.8994 0.0000
0.3331 0.6006 0.5000
0.3994 0.3331 0.5000
0.6006 0.6669 0.5000
0.6669 0.3994 0.5000
0.8331 0.1006 0.0000
0.8994 0.8331 0.0000
```


[8]
Crystalline TiAg at its relaxed geometry. Source: the Alexandria database, functional GGA-PBE.

Calculated values
Space group   Fm-3m (225)
Total magnetization   5.13 μB/cell
E_form   647 meV per atom

```
TiAg
1.0
5.4361 0.0000 0.0000
0.0000 5.4361 0.0000
0.0000 0.0000 5.4361
Ti Ag
4 4
Direct
0.0000 0.0000 0.0000
0.0000 0.5000 0.5000
0.5000 0.0000 0.5000
0.5000 0.5000 0.0000
0.0000 0.0000 0.5000
0.0000 0.5000 0.0000
0.5000 0.0000 0.0000
0.5000 0.5000 0.5000
```


[9]
Crystalline TiAg at its relaxed geometry. Source: the Alexandria database, functional GGA-PBE.

Calculated values
Space group   P4/nmm (129)
Total magnetization   0.00 μB/cell
E_form   -56 meV per atom

```
TiAg
1.0
2.9059 0.0000 0.0000
0.0000 2.9059 0.0000
0.0000 0.0000 8.2872
Ti Ag
2 2
Direct
0.2500 0.2500 0.1131
0.7500 0.7500 0.8869
0.2500 0.2500 0.6299
0.7500 0.7500 0.3701
```


[10]
Crystalline TiAg at its relaxed geometry. Source: the Alexandria database, functional GGA-PBE.

Calculated values
Space group   I4/mmm (139)
Total magnetization   0.00 μB/cell
E_form   151 meV per atom

```
TiAg
1.0
8.4873 0.0000 0.0000
0.0000 8.4873 0.0000
0.0000 0.0000 4.1844
Ti Ag
8 8
Direct
0.0000 0.3379 0.0000
0.0000 0.6621 0.0000
0.1621 0.5000 0.5000
0.3379 0.0000 0.0000
0.5000 0.1621 0.5000
0.5000 0.8379 0.5000
0.6621 0.0000 0.0000
0.8379 0.5000 0.5000
0.1666 0.1666 0.5000
0.1666 0.8334 0.5000
0.3334 0.3334 0.0000
0.3334 0.6666 0.0000
0.6666 0.3334 0.0000
0.6666 0.6666 0.0000
0.8334 0.1666 0.5000
0.8334 0.8334 0.5000
```


[11]
Crystalline TiTlAg at its relaxed geometry. Source: the Alexandria database, functional GGA-PBE.

Calculated values
Space group   P6_3/mmc (194)
Total magnetization   0.00 μB/cell
E_form   239 meV per atom

```
TiTlAg
1.0
4.7110 0.0000 0.0000
-2.3555 4.0798 0.0000
0.0000 0.0000 6.1464
Ti Tl Ag
2 2 2
Direct
0.3333 0.6667 0.2500
0.6667 0.3333 0.7500
0.0000 0.0000 0.0000
0.0000 0.0000 0.5000
0.3333 0.6667 0.7500
0.6667 0.3333 0.2500
```


[12]
Crystalline Ti2TlAg2 at its relaxed geometry. Source: the Alexandria database, functional GGA-PBE.

Calculated values
Space group   P4/mbm (127)
Total magnetization   0.00 μB/cell
E_form   300 meV per atom

```
Ti2TlAg2
1.0
8.0285 0.0000 0.0000
0.0000 8.0285 0.0000
0.0000 0.0000 3.0498
Ti Tl Ag
4 2 4
Direct
0.1635 0.3365 0.0000
0.3365 0.8365 0.0000
0.6635 0.1635 0.0000
0.8365 0.6635 0.0000
0.0000 0.0000 0.0000
0.5000 0.5000 0.0000
0.1298 0.6298 0.5000
0.3702 0.1298 0.5000
0.6298 0.8702 0.5000
0.8702 0.3702 0.5000
```


[13]
Crystalline TiTlAg at its relaxed geometry. Source: the Alexandria database, functional GGA-PBE.

Calculated values
Space group   C2/m (12)
Total magnetization   0.00 μB/cell
E_form   148 meV per atom

```
TiTlAg
1.0
10.9851 0.0000 0.0000
0.0000 3.0750 0.0000
-3.1579 0.0000 7.2066
Ti Tl Ag
4 4 4
Direct
0.1556 0.0000 0.0380
0.3444 0.5000 0.9620
0.6556 0.5000 0.0380
0.8444 0.0000 0.9620
0.1601 0.0000 0.6320
0.3399 0.5000 0.3680
0.6601 0.5000 0.6320
0.8399 0.0000 0.3680
0.0408 0.5000 0.2567
0.4592 0.0000 0.7433
0.5408 0.0000 0.2567
0.9592 0.5000 0.7433
```


[14]
Crystalline TiTlAg at its relaxed geometry. Source: the Alexandria database, functional GGA-PBE.

Calculated values
Space group   Pm (6)
Total magnetization   1.43 μB/cell
E_form   139 meV per atom

```
TiTlAg
1.0
4.3182 0.0000 0.0000
0.0000 4.1709 0.0000
-2.1498 0.0000 6.5755
Ti Tl Ag
2 2 2
Direct
0.0000 0.0000 0.0000
0.3432 0.0000 0.6867
0.1790 0.5000 0.3578
0.4996 0.5000 0.9993
0.6840 0.0000 0.3679
0.8427 0.5000 0.6853
```


[15]
Crystalline TiTl2Ag at its relaxed geometry. Source: the Alexandria database, functional GGA-PBE.

Calculated values
Space group   P4/mmm (123)
Total magnetization   0.00 μB/cell
E_form   178 meV per atom

```
TiTl2Ag
1.0
4.5264 0.0000 0.0000
0.0000 4.5264 0.0000
0.0000 0.0000 4.1083
Ti Tl Ag
1 2 1
Direct
0.0000 0.0000 0.0000
0.0000 0.5000 0.5000
0.5000 0.0000 0.5000
0.5000 0.5000 0.0000
```


[16]
Crystalline TiTlAg at its relaxed geometry. Source: the Alexandria database, functional GGA-PBE.

Calculated values
Space group   I4mm (107)
Total magnetization   0.72 μB/cell
E_form   176 meV per atom

```
TiTlAg
1.0
3.1083 0.0000 0.0000
0.0000 3.1083 0.0000
0.0000 0.0000 12.2500
Ti Tl Ag
2 2 2
Direct
0.0000 0.0000 0.0000
0.5000 0.5000 0.5000
0.0000 0.0000 0.3308
0.5000 0.5000 0.8308
0.0000 0.0000 0.6506
0.5000 0.5000 0.1506
```


[17]
Crystalline TiTlAg at its relaxed geometry. Source: the Alexandria database, functional GGA-PBE.

Calculated values
Space group   P6_3/mmc (194)
Total magnetization   0.00 μB/cell
E_form   203 meV per atom

```
TiTlAg
1.0
4.8512 0.0000 0.0000
-2.4256 4.2012 0.0000
0.0000 0.0000 5.7808
Ti Tl Ag
2 2 2
Direct
0.3333 0.6667 0.2500
0.6667 0.3333 0.7500
0.3333 0.6667 0.7500
0.6667 0.3333 0.2500
0.0000 0.0000 0.0000
0.0000 0.0000 0.5000
```


[18]
Crystalline TiTlAg at its relaxed geometry. Source: the Alexandria database, functional GGA-PBE.

Calculated values
Space group   P6_3/mmc (194)
Total magnetization   4.92 μB/cell
E_form   1292 meV per atom

```
TiTlAg
1.0
4.6568 0.0000 0.0000
-2.3284 4.0329 0.0000
0.0000 0.0000 11.0597
Ti Tl Ag
2 2 2
Direct
0.0000 0.0000 0.0000
0.0000 0.0000 0.5000
0.0000 0.0000 0.2500
0.0000 0.0000 0.7500
0.3333 0.6667 0.2500
0.6667 0.3333 0.7500
```


[19]
Crystalline Ti3TlAg at its relaxed geometry. Source: the Alexandria database, functional GGA-PBE.

Calculated values
Space group   Pm-3m (221)
Total magnetization   0.00 μB/cell
E_form   898 meV per atom

```
Ti3TlAg
1.0
4.8747 0.0000 0.0000
0.0000 4.8747 0.0000
0.0000 0.0000 4.8747
Ti Tl Ag
3 1 1
Direct
0.0000 0.0000 0.5000
0.0000 0.5000 0.0000
0.5000 0.0000 0.0000
0.5000 0.5000 0.5000
0.0000 0.0000 0.0000
```


[20]
Crystalline TiTlAg at its relaxed geometry. Source: the Alexandria database, functional GGA-PBE.

Calculated values
Space group   C2/m (12)
Total magnetization   0.00 μB/cell
E_form   143 meV per atom

```
TiTlAg
1.0
12.4655 0.0000 0.0000
0.0000 3.1239 0.0000
-1.6928 0.0000 6.2046
Ti Tl Ag
4 4 4
Direct
0.1744 0.0000 0.3489
0.3256 0.5000 0.6511
0.6744 0.5000 0.3489
0.8256 0.0000 0.6511
0.0000 0.5000 0.0000
0.0000 0.5000 0.5000
0.5000 0.0000 0.0000
0.5000 0.0000 0.5000
0.1817 0.0000 0.8330
0.3183 0.5000 0.1670
0.6817 0.5000 0.8330
0.8183 0.0000 0.1670
```


[21]
Crystalline TiTlAg at its relaxed geometry. Source: the Alexandria database, functional GGA-PBE.

Calculated values
Space group   P1 (1)
Total magnetization   0.00 μB/cell
E_form   84 meV per atom

```
TiTlAg
1.0
3.1491 0.0000 0.0000
0.0001 3.1492 0.0000
1.5382 1.5056 12.8152
Ti Tl Ag
2 2 2
Direct
0.0000 0.0000 0.0000
0.4346 0.4360 0.1341
0.5816 0.5792 0.8304
0.7150 0.7251 0.5887
0.2980 0.3026 0.4142
0.8684 0.8711 0.2699
```


[22]
Crystalline TiTlAg at its relaxed geometry. Source: the Alexandria database, functional GGA-PBE.

Calculated values
Space group   P4/nmm (129)
Total magnetization   2.23 μB/cell
E_form   469 meV per atom

```
TiTlAg
1.0
4.1697 0.0000 0.0000
0.0000 4.1697 0.0000
0.0000 0.0000 7.4233
Ti Tl Ag
2 2 2
Direct
0.2500 0.2500 0.1525
0.7500 0.7500 0.8475
0.2500 0.7500 0.5000
0.7500 0.2500 0.5000
0.2500 0.2500 0.7977
0.7500 0.7500 0.2023
```


[23]
Crystalline TiTlAg at its relaxed geometry. Source: the Alexandria database, functional GGA-PBE.

Calculated values
Space group   Pnma (62)
Total magnetization   0.01 μB/cell
E_form   158 meV per atom

```
TiTlAg
1.0
6.4524 0.0000 0.0000
0.0000 4.0783 0.0000
0.0000 0.0000 8.9344
Ti Tl Ag
4 4 4
Direct
0.1213 0.2500 0.0818
0.3787 0.7500 0.5818
0.6213 0.2500 0.4182
0.8787 0.7500 0.9182
0.1169 0.2500 0.7498
0.3831 0.7500 0.2498
0.6169 0.2500 0.7502
0.8831 0.7500 0.2502
0.1351 0.2500 0.4247
0.3649 0.7500 0.9247
0.6351 0.2500 0.0753
0.8649 0.7500 0.5753
```


[24]
Crystalline TiTl2Ag at its relaxed geometry. Source: the Alexandria database, functional GGA-PBE.

Calculated values
Space group   I-42d (122)
Total magnetization   3.73 μB/cell
E_form   401 meV per atom

```
TiTl2Ag
1.0
7.7246 0.0000 0.0000
0.0000 7.7246 0.0000
0.0000 0.0000 6.2460
Ti Tl Ag
4 8 4
Direct
0.0000 0.0000 0.0000
0.0000 0.5000 0.2500
0.5000 0.0000 0.7500
0.5000 0.5000 0.5000
0.2465 0.7500 0.6250
0.2500 0.2465 0.3750
0.2500 0.2535 0.8750
0.2535 0.7500 0.1250
0.7465 0.2500 0.1250
0.7500 0.7465 0.8750
0.7500 0.7535 0.3750
0.7535 0.2500 0.6250
0.0000 0.0000 0.5000
0.0000 0.5000 0.7500
0.5000 0.0000 0.2500
0.5000 0.5000 0.0000
```